1.
A plane-wave DFT calculation with GGA+U was carried out for an optimized crystal structure of Li4V3OF11.

Cell: 5.195 5.478 16.368 Å, 80.63 89.52 88.17°
Element x y z (fractional)
Li (0.000, 0.000, 0.000)
Li (0.020, 0.534, 0.122)
Li (0.279, 0.606, 0.370)
Li (0.342, 0.501, 0.710)
Li (0.512, 0.076, 0.117)
Li (0.548, 0.533, 0.996)
Li (0.816, 0.156, 0.396)
Li (0.848, 0.924, 0.726)
V (0.012, 0.629, 0.889)
V (0.014, 0.296, 0.553)
V (0.014, 0.959, 0.219)
V (0.505, 0.136, 0.889)
V (0.514, 0.795, 0.550)
V (0.515, 0.451, 0.219)
O (0.238, 0.643, 0.236)
O (0.798, 0.264, 0.188)
F (0.101, 0.670, 0.767)
F (0.105, 0.339, 0.436)
F (0.154, 0.984, 0.104)
F (0.185, 0.283, 0.934)
F (0.199, 0.974, 0.575)
F (0.322, 0.474, 0.589)
F (0.333, 0.137, 0.245)
F (0.336, 0.814, 0.932)
F (0.384, 0.454, 0.101)
F (0.401, 0.186, 0.778)
F (0.419, 0.812, 0.438)
F (0.601, 0.761, 0.668)
F (0.613, 0.421, 0.334)
F (0.649, 0.126, 0.004)
F (0.655, 0.468, 0.875)
F (0.710, 0.115, 0.514)
F (0.719, 0.764, 0.177)
F (0.829, 0.976, 0.855)
F (0.834, 0.618, 0.530)
F (0.887, 0.646, 0.012)
F (0.903, 0.240, 0.665)
F (0.932, 0.905, 0.335)

Summary:
E_tot ... -0.21008 hartree per atom
Fermi-level density of states ... 3.79 states/eV/cell
Calculated volume ... 459.3 Å³ per cell
E above lowest polymorph ... 34 meV per atom

---

2.
A plane-wave DFT calculation with GGA+U was carried out for an optimized crystal structure of TlNi2F6.

Cell: 5.010 5.010 9.917 Å, 90.00 90.00 90.00°
Element x y z (fractional)
Tl (0.000, 0.000, 0.000)
Tl (0.500, 0.500, 0.500)
Ni (0.000, 0.000, 0.332)
Ni (0.000, 0.000, 0.668)
Ni (0.500, 0.500, 0.168)
Ni (0.500, 0.500, 0.832)
F (0.170, 0.170, 0.500)
F (0.212, 0.212, 0.189)
F (0.212, 0.212, 0.811)
F (0.288, 0.712, 0.311)
F (0.288, 0.712, 0.689)
F (0.330, 0.670, 0.000)
F (0.670, 0.330, 0.000)
F (0.712, 0.288, 0.311)
F (0.712, 0.288, 0.689)
F (0.788, 0.788, 0.189)
F (0.788, 0.788, 0.811)
F (0.830, 0.830, 0.500)

Summary:
E_tot ... -0.14846 hartree per atom
Fermi-level density of states ... 5.59 states/eV/cell
Calculated volume ... 248.9 Å³ per cell
E above lowest polymorph ... 29 meV per atom